First-principles (PBE-GGA) data for a relaxed Zn2CdRhS crystal, as listed in the Alexandria database.

a = 4.666 Å, b = 4.666 Å, c = 4.474 Å
α = 90.00°, β = 90.00°, γ = 90.00°
Positions (direct):
Zn: 0.000 0.500 0.000
Zn: 0.500 0.000 0.000
Cd: 0.000 0.000 0.500
Rh: 0.500 0.500 0.500
S: 0.500 0.500 0.000

Results
For the spin magnetization, the calculation gives 0.00 μB per cell. Its crystal system is tetragonal. Its density is 6.45 Mg/m³. The raw formation energy comes out at 0.27 eV per atom.